Below is a relaxed structure of CdSb2W, with properties calculated at the GGA-PBE level.

* space group: I-42d (122)

```
CdSb2W
1.0
6.430 0.000 0.000
0.000 6.430 0.000
3.215 3.215 6.352
Sb W Cd
4 2 2
direct
0.658 0.125 0.250
0.092 0.625 0.250
0.375 0.342 0.750
0.875 0.908 0.750
0.000 0.000 0.000
0.750 0.250 0.500
0.500 0.500 0.000
0.250 0.750 0.500
```



Below is a relaxed structure of CdSb3W, with properties calculated at the GGA-PBE level.

* relative energy among the computed polymorphs: 1.159 eV per atom
* space group: Pm-3m (221)

```
CdSb3W
1.0
-0.500 5.068 1.748
-1.551 -1.817 4.825
5.132 -0.055 1.629
Sb W Cd
3 1 1
direct
0.000 0.500 0.000
0.000 0.000 0.500
0.500 0.000 0.000
0.500 0.500 0.500
0.000 0.000 0.000
```



Below is a relaxed structure of ZnCdSb2W, with properties calculated at the GGA-PBE level.

* space group: P4/mmm (123)

```
ZnCdSb2W
1.0
-0.523 3.935 -3.342
0.641 -3.494 -4.213
-5.127 -0.788 -0.126
Sb Zn W Cd
2 1 1 1
direct
0.000 0.000 0.500
0.500 0.000 0.000
0.500 0.500 0.500
0.000 0.000 0.000
0.000 0.500 0.000
```



Below is a relaxed structure of YCdSb, with properties calculated at the GGA-PBE level.

* relative energy among the computed polymorphs: 0.006 eV per atom
* space group: C2/m (12)

```
YCdSb
1.0
-1.199 2.673 3.200
0.900 -5.482 1.976
6.766 3.594 -0.467
Sb Cd Y
2 2 2
direct
0.827 0.653 0.795
0.173 0.347 0.205
0.390 0.780 0.569
0.610 0.220 0.431
0.884 0.767 0.213
0.116 0.233 0.787
```



Below is a relaxed structure of YCdSb2, with properties calculated at the GGA-PBE level.

* space group: P4/mmm (123)

```
YCdSb2
1.0
-2.927 0.068 4.040
-2.883 -3.522 -2.030
2.354 -2.939 1.756
Cd Sb Y
1 2 1
direct
0.000 0.500 0.500
0.000 0.000 0.000
0.500 0.500 0.000
0.500 0.000 0.500
```



Below is a relaxed structure of YCdSb, with properties calculated at the GGA-PBE level.

* relative energy among the computed polymorphs: 0.256 eV per atom
* space group: F-43m (216)

```
YCdSb
1.0
-0.042 -4.457 -2.386
2.065 -4.061 2.192
-2.955 -3.741 1.683
Cd Sb Y
1 1 1
direct
0.500 0.500 0.500
0.750 0.750 0.750
0.000 0.000 0.000
```



Below is a relaxed structure of Y2Cd2Sb, with properties calculated at the GGA-PBE level.

* relative energy among the computed polymorphs: 0.074 eV per atom
* space group: P4/mbm (127)

```
Y2Cd2Sb
1.0
-6.069 4.683 2.105
-5.089 -5.916 -1.513
0.396 -1.469 4.410
Y Sb Cd
4 2 4
direct
0.338 0.838 0.000
0.838 0.662 0.000
0.662 0.162 0.000
0.162 0.338 0.000
0.000 0.000 0.000
0.500 0.500 0.000
0.137 0.637 0.500
0.637 0.863 0.500
0.863 0.363 0.500
0.363 0.137 0.500
```



Below is a relaxed structure of YCd2Sb2, with properties calculated at the GGA-PBE level.

* relative energy among the computed polymorphs: 0.311 eV per atom
* space group: I4/mmm (139)

```
YCd2Sb2
1.0
4.778 0.000 0.000
0.000 4.778 0.000
2.389 2.389 6.227
Y Sb Cd
1 2 2
direct
0.000 0.000 0.000
0.750 0.250 0.500
0.250 0.750 0.500
0.394 0.394 0.211
0.606 0.606 0.789
```



| no. | uncorrected formation energy (eV per atom) | DOS(E_F) (states/eV/cell) | calculated total energy (eV per atom) |
| --- | --- | --- | --- |
| 1 | 0.74 | 3.7 | -4.793 |
| 2 | 1.75 | 3.7 | -3.502 |
| 3 | 0.62 | 2.9 | -4.059 |
| 4 | -0.47 | 4.9 | -4.300 |
| 5 | -0.48 | 1.8 | -4.384 |
| 6 | -0.22 | 3.3 | -4.049 |
| 7 | -0.32 | 10.0 | -4.100 |
| 8 | 0.02 | 3.8 | -3.284 |